No. 1
Computed, not measured: a relaxed structure of PbW2Br at the PBE-GGA level of DFT.

Computed properties:
E_form (uncorrected) ... 1.229 eV/atom
ρ ... 14295 kg/m³
Relative energy among the computed polymorphs ... 873 meV per atom
V ... 76 Å³ per cell
Crystal system ... trigonal
Space-group type ... No. 166

Cell: 9.4211 9.4211 9.4211 Å, 18.82 18.82 18.82°
Fractional coordinates of all 4 atoms:
Pb: 0.0000 0.0000 0.0000
W: 0.2462 0.2462 0.2462
W: 0.7538 0.7538 0.7538
Br: 0.5000 0.5000 0.5000

---

No. 2
Computed, not measured: a relaxed structure of Th4GaSiTe2 at the PBE-GGA level of DFT.

Computed properties:
E_form (uncorrected) ... -0.868 eV/atom
ρ ... 8819 kg/m³
V ... 241 Å³ per cell
Crystal system ... monoclinic
Space-group type ... No. 10

Cell: 7.5425 4.3604 7.7550 Å, 90.00 108.96 90.00°
Fractional coordinates of all 8 atoms:
Th: 0.2342 0.0000 0.2143
Th: 0.2572 0.5000 0.7829
Th: 0.7428 0.5000 0.2171
Th: 0.7658 0.0000 0.7857
Ga: 0.5000 0.0000 0.0000
Si: 0.0000 0.5000 0.0000
Te: 0.0000 0.0000 0.5000
Te: 0.5000 0.5000 0.5000

---

No. 3
Computed, not measured: a relaxed structure of CaTiNi3 at the PBE-GGA level of DFT.

Computed properties:
ρ ... 4830 kg/m³
Relative energy among the computed polymorphs ... 0 meV per atom
Formation enthalpy at 0 K ... 0.321 eV/atom
V ... 91 Å³ per cell
Crystal system ... cubic
Space-group type ... No. 221

Cell: 4.4941 4.4941 4.4941 Å, 90.00 90.00 90.00°
Fractional coordinates of all 5 atoms:
Ca: 0.0000 0.0000 0.0000
Ti: 0.5000 0.5000 0.5000
Ni: 0.0000 0.5000 0.5000
Ni: 0.5000 0.0000 0.5000
Ni: 0.5000 0.5000 0.0000

---

No. 4
Computed, not measured: a relaxed structure of TaMnMoP2 at the PBE-GGA level of DFT.

Computed properties:
ρ ... 6338 kg/m³
Formation enthalpy at 0 K ... 1.349 eV/atom
V ... 103 Å³ per cell
Crystal system ... tetragonal
Space-group type ... No. 123

Cell: 4.6650 4.6650 4.7409 Å, 90.00 90.00 90.00°
Fractional coordinates of all 5 atoms:
Ta: 0.0000 0.0000 0.0000
Mn: 0.0000 0.0000 0.5000
Mo: 0.5000 0.5000 0.5000
P: 0.0000 0.5000 0.0000
P: 0.5000 0.0000 0.0000